Entry 1:
Here is crystalline P2PbSCl at its relaxed geometry from Alexandria via LeMat-Bulk. Energies are from GGA-PBE.

## Properties
As for the calculated density: 3.3 g/cm3. The distance to the lowest polymorph of the same formula comes out at 69.6 kJ/mol of atoms. Its uncorrected formation energy is 1.21 eV/atom. As for the space-group type: P4/mmm, No. 123. The calculation puts the electronic total energy at -14.46 eV/cell.

Structure (POSCAR):
```
P2PbSCl
1.0
5.632 0.000 0.000
0.000 5.632 0.000
0.000 0.000 5.369
P Pb S Cl
2 1 1 1
direct
0.000 0.500 0.000
0.500 0.000 0.000
0.000 0.000 0.000
0.500 0.500 0.500
0.000 0.000 0.500
```

---

Entry 2:
Here is crystalline Sm2DyThAs4 at its relaxed geometry from Alexandria via LeMat-Bulk. Energies are from GGA-PBE.

## Properties
As for the calculated density: 7.9 g/cm3. The value obtained for the formation energy is -1.517 eV per atom. As for the space-group type: P2/m, No. 10. The calculation puts the electronic total energy at -52.20 eV/cell.

Structure (POSCAR):
```
Sm2DyThAs4
1.0
7.266 0.000 0.000
0.000 4.208 0.000
-2.425 0.000 6.867
Sm Dy Th As
2 1 1 4
direct
0.000 0.000 0.000
0.500 0.500 0.000
0.000 0.500 0.500
0.500 0.000 0.500
0.246 0.000 0.746
0.247 0.500 0.251
0.753 0.500 0.749
0.754 0.000 0.254
```

---

Entry 3:
Here is crystalline SbW2Br at its relaxed geometry from Alexandria via LeMat-Bulk. Energies are from GGA-PBE.

## Properties
As for the calculated density: 12.3 g/cm3. The distance to the lowest polymorph of the same formula comes out at 99.8 kJ/mol of atoms. Its uncorrected formation energy is 1.24 eV/atom. As for the space-group type: Immm, No. 71. The calculation puts the electronic total energy at -53.52 eV/cell.

Structure (POSCAR):
```
SbW2Br
1.0
2.910 0.000 0.000
0.000 5.507 0.000
0.000 0.000 9.613
Sb W Br
2 4 2
direct
0.000 0.000 0.000
0.500 0.500 0.500
0.000 0.500 0.249
0.000 0.500 0.751
0.500 0.000 0.251
0.500 0.000 0.749
0.000 0.000 0.500
0.500 0.500 0.000
```

---

Entry 4:
Here is crystalline CsNb3N at its relaxed geometry from Alexandria via LeMat-Bulk. Energies are from GGA-PBE.

## Properties
As for the calculated density: 5.6 g/cm3. The distance to the lowest polymorph of the same formula comes out at 283.6 kJ/mol of atoms. Its uncorrected formation energy is 3.76 eV/atom. As for the space-group type: Pm-3m, No. 221. The calculation puts the electronic total energy at -20.58 eV/cell.

Structure (POSCAR):
```
CsNb3N
1.0
5.004 0.000 0.000
0.000 5.004 0.000
0.000 0.000 5.004
Cs Nb N
1 3 1
direct
0.000 0.000 0.000
0.000 0.000 0.500
0.000 0.500 0.000
0.500 0.000 0.000
0.500 0.500 0.500
```

---

Entry 5:
Here is crystalline In2TcP at its relaxed geometry from Alexandria via LeMat-Bulk. Energies are from GGA-PBE.

## Properties
As for the calculated density: 7.8 g/cm3. The value obtained for the formation energy is 0.520 eV per atom. As for the space-group type: Cmmm, No. 65. The calculation puts the electronic total energy at -38.34 eV/cell.

Structure (POSCAR):
```
In2TcP
1.0
4.005 0.000 0.000
0.000 4.615 0.000
0.000 0.000 8.270
In Tc P
4 2 2
direct
0.000 0.000 0.236
0.000 0.000 0.764
0.500 0.500 0.236
0.500 0.500 0.764
0.000 0.500 0.000
0.500 0.000 0.000
0.000 0.500 0.500
0.500 0.000 0.500
```

---

Entry 6:
Here is crystalline Re5Se at its relaxed geometry from Alexandria via LeMat-Bulk. Energies are from GGA-PBE.

## Properties
As for the calculated density: 18.2 g/cm3. The distance to the lowest polymorph of the same formula comes out at 4.0 kJ/mol of atoms. Its uncorrected formation energy is 0.29 eV/atom. As for the space-group type: Cm, No. 8. The calculation puts the electronic total energy at -127.96 eV/cell.

Structure (POSCAR):
```
Re5Se
1.0
10.236 0.000 0.000
0.000 2.893 0.000
-2.021 0.000 6.226
Re Se
10 2
direct
0.000 0.000 0.000
0.049 0.000 0.643
0.227 0.500 0.984
0.326 0.000 0.686
0.429 0.000 0.291
0.500 0.500 0.000
0.549 0.500 0.643
0.727 0.000 0.984
0.826 0.500 0.686
0.929 0.500 0.291
0.189 0.500 0.359
0.689 0.000 0.359
```

---

Entry 7:
Here is crystalline K3Y2TmTe6 at its relaxed geometry from Alexandria via LeMat-Bulk. Energies are from GGA-PBE.

## Properties
As for the calculated density: 4.7 g/cm3. Its uncorrected formation energy is -1.40 eV/atom. As for the space-group type: C2/m, No. 12. The calculation puts the electronic total energy at -56.33 eV/cell.

Structure (POSCAR):
```
K3Y2TmTe6
1.0
3.882 -6.724 0.000
3.882 6.724 0.000
-2.588 0.000 8.240
K Y Tm Te
3 2 1 6
direct
0.000 0.000 0.000
0.332 0.668 0.000
0.668 0.332 0.000
0.166 0.834 0.500
0.834 0.166 0.500
0.500 0.500 0.500
0.101 0.431 0.292
0.239 0.239 0.708
0.431 0.101 0.292
0.569 0.899 0.708
0.761 0.761 0.292
0.899 0.569 0.708
```

---

Entry 8:
Here is crystalline NaCoGe at its relaxed geometry from Alexandria via LeMat-Bulk. Energies are from GGA-PBE.

## Properties
As for the calculated density: 4.7 g/cm3. The value obtained for the formation energy is -0.032 eV per atom. As for the space-group type: P1, No. 1. The calculation puts the electronic total energy at -26.28 eV/cell.

Structure (POSCAR):
```
NaCoGe
1.0
3.852 0.000 0.000
0.000 5.310 0.000
1.916 0.009 5.392
Na Co Ge
2 2 2
direct
0.000 0.000 0.000
0.469 0.499 0.063
0.211 0.501 0.577
0.256 0.002 0.486
0.734 0.251 0.531
0.734 0.751 0.532
```